1.
8
Lattice="6.192 0.000 0.000 0.000 6.192 0.000 0.000 0.000 6.192" Properties=species:S:1:pos:R:3 comment="Ca3As PBE relaxed" density_g_cm3=2.73 relative_energy_ev_per_atom=0.343 space_group=Pm-3n pbc="T T T"
Ca 3.096 0.000 1.548
As 3.096 3.096 3.096
Ca 0.000 1.548 3.096
As 0.000 0.000 0.000
Ca 0.000 4.644 3.096
Ca 4.644 3.096 0.000
Ca 3.096 0.000 4.644
Ca 1.548 3.096 0.000

2.
5
Lattice="-0.222 -2.050 4.878 3.963 -3.300 -1.206 3.507 3.600 1.672" Properties=species:S:1:pos:R:3 comment="CaAs4 PBE relaxed" density_g_cm3=3.80 relative_energy_ev_per_atom=1.347 space_group=Pm-3m pbc="T T T"
As 0.000 0.000 0.000
As 3.735 0.150 0.233
Ca 3.623 -0.875 2.672
As 1.870 -2.675 1.836
As 1.642 0.775 3.275

3.
8
Lattice="-0.692 6.131 -3.069 -4.717 -2.127 4.551 2.906 2.396 4.132" Properties=species:S:1:pos:R:3 comment="Ca3As PBE relaxed" density_g_cm3=2.82 relative_energy_ev_per_atom=0.193 space_group=P6_3/mmc pbc="T T T"
As -2.649 1.225 3.044
Ca -2.950 4.282 1.483
Ca -0.655 5.317 -0.732
Ca 0.446 2.118 4.131
As 0.145 5.176 2.570
Ca -1.849 1.083 6.346
Ca -2.186 4.067 4.853
Ca -0.318 2.333 0.761

4.
3
Lattice="4.319 0.000 0.000 -2.159 3.740 0.000 0.000 0.000 6.953" Properties=species:S:1:pos:R:3 comment="Ca2As PBE relaxed" density_g_cm3=2.29 relative_energy_ev_per_atom=0.108 space_group=P-3m1 pbc="T T T"
Ca 0.000 2.493 1.494
As 0.000 0.000 0.000
Ca 2.159 1.247 5.458

5.
16
Lattice="-8.901 0.076 0.092 0.057 -3.338 8.252 0.105 8.252 3.338" Properties=species:S:1:pos:R:3 comment="CaAs PBE relaxed" density_g_cm3=2.17 space_group=I-43m pbc="T T T"
As -1.108 -1.803 7.617
As -5.548 0.979 6.500
Ca -5.982 3.415 7.996
Ca -2.736 0.343 6.730
As -5.535 4.030 5.206
Ca -6.041 1.602 3.720
As -3.176 3.131 7.355
Ca -2.719 4.619 4.917
Ca -7.163 6.176 4.319
As -7.589 4.332 10.144
Ca -7.193 -1.139 7.421
Ca -1.510 4.021 9.469
Ca -1.612 0.920 2.155
As -3.219 1.838 4.303
As -7.708 0.712 1.606
As -1.073 6.736 3.997

6.
4
Lattice="3.927 0.000 0.000 0.000 3.927 0.000 0.000 0.000 5.734" Properties=species:S:1:pos:R:3 comment="CaAs3 PBE relaxed" density_g_cm3=4.97 space_group=P4/mmm pbc="T T T"
As 0.000 0.000 2.661
As 1.964 1.964 1.434
Ca 1.964 1.964 4.301
As 0.000 0.000 0.206

7.
6
Lattice="5.316 -5.162 0.976 6.732 -1.799 2.701 0.850 -3.963 7.029" Properties=species:S:1:pos:R:3 comment="Ca2As PBE relaxed" density_g_cm3=2.61 relative_energy_ev_per_atom=0.172 space_group=C2/m pbc="T T T"
Ca 4.077 -2.562 1.646
Ca 5.159 -4.662 4.852
Ca 8.821 -8.362 9.059
As 11.618 -9.356 8.698
Ca 7.738 -6.262 5.853
As 1.279 -1.569 2.007

8.
2
Lattice="4.605 -0.001 0.000 2.961 3.527 0.000 2.961 1.380 3.246" Properties=species:S:1:pos:R:3 comment="CaAs PBE relaxed" density_g_cm3=3.62 space_group=R-3m pbc="T T T"
Ca 5.264 2.453 1.622
As 0.000 0.000 0.000

9.
6
Lattice="1.804 5.048 0.119 -1.804 5.048 0.119 0.000 1.503 8.191" Properties=species:S:1:pos:R:3 comment="CaAs5 PBE relaxed" density_g_cm3=4.63 relative_energy_ev_per_atom=0.008 space_group=Cm pbc="T T T"
Ca 0.000 4.424 7.238
As 0.000 4.077 3.888
As 0.000 5.886 1.899
As 0.000 7.619 5.396
As 0.000 10.731 5.198
As 0.000 0.126 0.264

10.
4
Lattice="6.362 0.023 0.072 -2.848 5.689 0.072 -2.848 -4.630 3.307" Properties=species:S:1:pos:R:3 comment="Ca3As PBE relaxed" density_g_cm3=2.61 relative_energy_ev_per_atom=0.430 space_group=R-3m pbc="T T T"
Ca -2.848 0.530 1.690
As 0.000 0.000 0.000
Ca 1.757 -2.304 1.690
Ca 1.757 2.856 0.072

11.
12
Lattice="-2.241 1.580 -3.569 2.282 -3.868 -0.307 -17.245 -10.659 6.108" Properties=species:S:1:pos:R:3 comment="CaAs PBE relaxed" density_g_cm3=3.08 space_group=R-3m pbc="T T T"
Ca -6.522 -6.562 1.190
As 0.614 -2.151 -1.338
As -10.559 -9.057 2.620
As -5.589 -3.454 1.979
Ca -10.682 -6.385 1.042
Ca -1.545 -0.955 0.547
Ca -13.776 -8.297 2.137
As -17.818 -10.796 3.569
Ca -15.700 -9.704 5.561
As -6.645 -3.890 -0.388
As -11.657 -7.205 4.129
Ca -3.429 -4.650 0.094

12.
6
Lattice="-3.432 3.432 3.793 3.432 -3.432 3.793 3.432 3.432 -3.793" Properties=species:S:1:pos:R:3 comment="Ca2As PBE relaxed" density_g_cm3=2.88 relative_energy_ev_per_atom=0.154 space_group=I4/mcm pbc="T T T"
Ca 1.953 1.478 0.000
Ca 1.953 -1.478 3.793
As 0.000 0.000 5.690
Ca 1.478 1.953 3.793
As 0.000 0.000 1.897
Ca 1.478 4.910 0.000

13.
4
Lattice="-2.928 -1.792 -1.558 1.134 -3.227 1.594 -5.145 1.893 7.491" Properties=species:S:1:pos:R:3 comment="Ca3As PBE relaxed" density_g_cm3=2.45 relative_energy_ev_per_atom=0.082 space_group=Cmmm pbc="T T T"
Ca -1.768 -2.189 1.287
Ca -5.171 -0.937 6.241
Ca -2.573 0.946 3.746
As 0.000 0.000 0.000

14.
6
Lattice="-0.346 -3.134 4.022 0.881 -4.875 -1.258 6.011 0.460 1.245" Properties=species:S:1:pos:R:3 comment="CaAs PBE relaxed" density_g_cm3=3.86 space_group=C2/m pbc="T T T"
Ca 1.249 -6.582 2.460
Ca 5.297 -0.967 1.549
As 2.395 -0.856 0.838
As 4.151 -6.694 3.171
As 0.268 -4.005 1.382
Ca 3.273 -3.775 2.005

15.
4
Lattice="4.102 0.002 0.000 -0.001 4.102 0.000 0.000 0.000 5.909" Properties=species:S:1:pos:R:3 comment="CaCd2As PBE relaxed" density_g_cm3=5.67 space_group=P4/mmm pbc="T T T"
As 2.051 2.052 1.477
Cd 0.000 0.000 2.854
Ca 2.051 2.052 4.432
Cd 0.000 0.000 0.101

16.
4
Lattice="-2.243 3.901 3.069 -3.903 -1.681 -0.716 0.296 -2.551 3.459" Properties=species:S:1:pos:R:3 comment="CaCd2As PBE relaxed" density_g_cm3=5.58 space_group=Cmmm pbc="T T T"
As -2.023 0.892 2.220
Cd -1.745 -2.047 1.326
Ca -3.827 -1.224 3.592
Cd -0.059 -0.069 0.045

17.
10
Lattice="-6.383 2.921 3.643 -1.833 -7.242 2.595 2.060 0.600 3.128" Properties=species:S:1:pos:R:3 comment="CaCd2As2 PBE relaxed" density_g_cm3=5.81 relative_energy_ev_per_atom=0.332 space_group=P4/mbm pbc="T T T"
Cd -4.611 -4.105 6.123
As -6.542 -2.391 4.766
Cd -1.545 0.383 3.244
As -3.657 -5.063 3.378
Ca -4.108 -2.161 3.119
Ca 0.000 0.000 0.000
Cd -1.000 -3.907 3.707
As -4.559 0.741 2.859
Cd -5.156 0.185 5.659
As -1.674 -1.930 1.472

18.
4
Lattice="-0.839 -3.293 -2.811 -0.343 -2.804 3.387 -5.963 1.192 0.383" Properties=species:S:1:pos:R:3 comment="Ca2CdAs PBE relaxed" density_g_cm3=3.75 relative_energy_ev_per_atom=0.257 space_group=P4mm pbc="T T T"
Ca -2.793 -2.608 0.429
As -5.780 -2.011 0.621
Ca -5.245 1.048 0.337
Cd -2.272 0.454 0.146

19.
5
Lattice="5.180 0.000 0.000 0.000 5.180 0.000 0.000 0.000 5.180" Properties=species:S:1:pos:R:3 comment="CaCdAs3 PBE relaxed" density_g_cm3=4.51 relative_energy_ev_per_atom=0.000 space_group=Pm-3m pbc="T T T"
As 0.000 2.590 0.000
As 2.590 0.000 0.000
As 0.000 0.000 2.590
Cd 0.000 0.000 0.000
Ca 2.590 2.590 2.590

20.
4
Lattice="7.229 0.101 -0.008 4.689 5.503 0.008 -5.731 -3.285 2.936" Properties=species:S:1:pos:R:3 comment="Ca2CdAs PBE relaxed" density_g_cm3=3.85 relative_energy_ev_per_atom=0.151 space_group=Imm2 pbc="T T T"
Ca 3.933 -0.095 1.464
Cd 5.225 2.457 0.000
Ca 0.670 0.315 0.000
As 2.317 2.443 1.472

Number 1: DFT formation energy -0.270 eV/atom, volume 29.67 Å³ per atom, spin magnetization 2.30 μB/f.u.. Number 2: DFT formation energy 1.047 eV/atom, volume 29.71 Å³ per atom, spin magnetization 0.00 μB/f.u.. Number 3: DFT formation energy -0.420 eV/atom, volume 28.74 Å³ per atom, spin magnetization 0.00 μB/f.u.. Number 4: DFT formation energy -0.839 eV/atom, volume 37.43 Å³ per atom, spin magnetization 0.22 μB/f.u.. Number 5: DFT formation energy -0.282 eV/atom, volume 44.09 Å³ per atom, spin magnetization 0.00 μB/f.u.. Number 6: DFT formation energy -0.228 eV/atom, volume 22.11 Å³ per atom, spin magnetization 0.00 μB/f.u.. Number 7: DFT formation energy -0.775 eV/atom, volume 32.92 Å³ per atom, spin magnetization 0.00 μB/f.u.. Number 8: DFT formation energy -0.823 eV/atom, volume 26.36 Å³ per atom, spin magnetization 0.00 μB/f.u.. Number 9: DFT formation energy -0.151 eV/atom, volume 24.76 Å³ per atom, spin magnetization 0.00 μB/f.u.. Number 10: DFT formation energy -0.182 eV/atom, volume 31.04 Å³ per atom, spin magnetization 0.00 μB/f.u.. Number 11: DFT formation energy -0.423 eV/atom, volume 30.96 Å³ per atom, spin magnetization 0.00 μB/f.u.. Number 12: DFT formation energy -0.794 eV/atom, volume 29.78 Å³ per atom, spin magnetization 0.84 μB/f.u.. Number 13: DFT formation energy -0.531 eV/atom, volume 33.02 Å³ per atom, spin magnetization 0.00 μB/f.u.. Number 14: DFT formation energy -0.939 eV/atom, volume 24.75 Å³ per atom, spin magnetization 0.00 μB/f.u.. Number 15: DFT formation energy -0.226 eV/atom, volume 24.86 Å³ per atom, spin magnetization 0.00 μB/f.u.. Number 16: DFT formation energy -0.376 eV/atom, volume 25.27 Å³ per atom, spin magnetization 0.00 μB/f.u.. Number 17: DFT formation energy -0.265 eV/atom, volume 23.72 Å³ per atom, spin magnetization 0.00 μB/f.u.. Number 18: DFT formation energy -0.485 eV/atom, volume 29.63 Å³ per atom, spin magnetization 0.00 μB/f.u.. Number 19: DFT formation energy 0.272 eV/atom, volume 27.80 Å³ per atom, spin magnetization 0.00 μB/f.u.. Number 20: DFT formation energy -0.591 eV/atom, volume 28.86 Å³ per atom, spin magnetization 0.00 μB/f.u..